! GGA-PBE ErTmSb, relaxed; values from VASP
&SYSTEM
  ibrav = 0, nat = 3, ntyp = 3
/
ATOMIC_SPECIES
Er 167.26 Er.upf
Tm 168.93 Tm.upf
Sb 121.76 Sb.upf
CELL_PARAMETERS angstrom
5.035 0.000 0.000
-2.518 4.361 0.000
0.000 0.000 3.864
ATOMIC_POSITIONS crystal
Er 0.000 0.000 0.000
Tm 0.333 0.667 0.531
Sb 0.667 0.333 0.275
! SG: P3m1, No. 156
! E_form (uncorrected) (eV/atom): -0.397

***

! GGA-PBE Pr2CuNi9, relaxed; values from VASP
&SYSTEM
  ibrav = 0, nat = 12, ntyp = 3
/
ATOMIC_SPECIES
Pr 140.91 Pr.upf
Cu 63.55 Cu.upf
Ni 58.69 Ni.upf
CELL_PARAMETERS angstrom
2.475 1.429 8.157
-2.475 1.429 8.157
0.000 -2.858 8.157
ATOMIC_POSITIONS crystal
Pr 0.133 0.133 0.133
Pr 0.867 0.867 0.867
Cu 0.000 0.000 0.000
Ni 0.079 0.578 0.578
Ni 0.333 0.333 0.333
Ni 0.422 0.422 0.921
Ni 0.422 0.921 0.422
Ni 0.500 0.500 0.500
Ni 0.578 0.079 0.578
Ni 0.578 0.578 0.079
Ni 0.667 0.667 0.667
Ni 0.921 0.422 0.422
! Formation energy from the elements (eV per atom): -0.06
! SG: R-3m, No. 166